DFT (PBE) results for a relaxed SmInHgTe3 crystal.

**Crystal system**: orthorhombic
**Symmetry**: Pnma
**Distance to the lowest polymorph of the same formula**: 68 meV per atom
**Total magnetization**: 0.000 μB/f.u.
**Total energy**: -83.36 eV per cell

a b c (Å): 8.970 4.655 18.702
angles (deg): 90.00 90.00 90.00
Fractional coordinates of all 24 atoms:
Sm: 0.222 0.250 0.040
Sm: 0.278 0.750 0.540
Sm: 0.722 0.250 0.460
Sm: 0.778 0.750 0.960
In: 0.079 0.250 0.804
In: 0.421 0.750 0.304
In: 0.579 0.250 0.696
In: 0.921 0.750 0.196
Hg: 0.042 0.250 0.337
Hg: 0.458 0.750 0.837
Hg: 0.542 0.250 0.163
Hg: 0.958 0.750 0.663
Te: 0.007 0.250 0.573
Te: 0.127 0.750 0.938
Te: 0.210 0.250 0.209
Te: 0.290 0.750 0.709
Te: 0.373 0.250 0.438
Te: 0.493 0.750 0.073
Te: 0.507 0.250 0.927
Te: 0.627 0.750 0.562
Te: 0.710 0.250 0.291
Te: 0.790 0.750 0.791
Te: 0.873 0.250 0.062
Te: 0.993 0.750 0.427